[1]
CeHg2 PBE optimized geometry; calculated total energy = -2.3587 eV per atom; V = 77.5 Å³/f.u.; size of the total moment = 2.10 μB/cell; DOS at the Fermi energy = 2.70 states/eV per atom
1.0
0.000 4.264 4.264
4.264 0.000 4.264
4.264 4.264 0.000
Ce Hg
2 4
Direct
0.125 0.125 0.125 Ce
0.875 0.875 0.875 Ce
0.000 0.500 0.500 Hg
0.500 0.000 0.500 Hg
0.500 0.500 0.000 Hg
0.500 0.500 0.500 Hg

***

[2]
RbCu2Re PBE optimized geometry; polymorph energy (0 for the lowest one) = 270 meV per atom; calculated total energy = -3.7892 eV per atom; V = 79.0 Å³/f.u.; size of the total moment = 3.21 μB/cell; DOS at the Fermi energy = 0.87 states/eV per atom
1.0
0.000 3.405 3.405
3.405 0.000 3.405
3.405 3.405 0.000
Rb Cu Re
1 2 1
Direct
0.000 0.000 0.000 Rb
0.250 0.250 0.250 Cu
0.750 0.750 0.750 Cu
0.500 0.500 0.500 Re

***

[3]
LiDy2Pu PBE optimized geometry; polymorph energy (0 for the lowest one) = 36 meV per atom; calculated total energy = -6.1721 eV per atom; V = 108.6 Å³/f.u.; size of the total moment = 6.61 μB/cell; DOS at the Fermi energy = 2.40 states/eV per atom
1.0
5.547 0.000 0.000
0.000 5.547 0.000
0.000 0.000 3.530
Li Dy Pu
1 2 1
Direct
0.000 0.000 0.000 Li
0.000 0.500 0.500 Dy
0.500 0.000 0.500 Dy
0.500 0.500 0.000 Pu